The following is a GGA-PBE calculation of a geometry-optimized Ca4N2Cl structure, from Alexandria via LeMat-Bulk.

Properties
symmetry	R-3m, No. 166
energy above the most stable polymorph in this dataset	0	meV/atom
density	2.47	g cm⁻³
magnetic moment	0.000	μB per formula unit
formation energy from raw total energies	-1.218	eV per atom

Cell: 3.643 3.643 13.272 Å, 82.11 82.11 60.00°
Sites, in units of the cell vectors:
Ca: 0.117 0.117 0.650
Ca: 0.883 0.883 0.350
Ca: 0.720 0.720 0.840
Ca: 0.280 0.280 0.160
Cl: 0.000 0.000 0.000
N: 0.582 0.582 0.255
N: 0.418 0.418 0.745